Entry 1:
Compound: Cs2PaPbSe4
Source: the Alexandria database
Functional: PBE
Structure: optimized geometry

abc: 4.4110 7.7592 8.6802
angles: 106.70 90.00 90.00
Last column: nearest neighbours and their distance in Å.
Element x y z (fractional)
Se: 0.0000 0.7104 0.1864  2 Pa 2.94, 1 Pb 3.12
Se: 0.5000 0.7437 0.8092  1 Pa 2.85, 2 Pb 3.11
Se: 0.5000 0.2563 0.1908  1 Pa 2.85, 2 Pb 3.11
Se: 0.0000 0.2896 0.8136  2 Pa 2.94, 1 Pb 3.12
Cs: 0.0000 0.5000 0.5000  6 Se 3.55-3.57
Cs: 0.5000 0.0000 0.5000  6 Se 3.72-3.77
Pb: 0.0000 0.0000 0.0000  6 Se 3.11-3.12
Pa: 0.5000 0.5000 0.0000  6 Se 2.85-2.94

Calculated values
As for the crystal system: monoclinic. For the volume, the calculation gives 284.6 Å³ per cell.

***

Entry 2:
Compound: Cs3PaTe6Pb2
Source: the Alexandria database
Functional: PBE
Structure: optimized geometry

abc: 8.1960 8.1960 9.1976
angles: 98.51 98.51 119.90
Last column: nearest neighbours and their distance in Å.
Element x y z (fractional)
Te: 0.6275 0.9369 0.8095  1 Pa 3.04, 2 Pb 3.30-3.31
Te: 0.0631 0.3725 0.1905  1 Pa 3.04, 2 Pb 3.30-3.31
Te: 0.7569 0.7569 0.1940  1 Pa 3.05, 2 Pb 3.30
Te: 0.2431 0.2431 0.8060  1 Pa 3.05, 2 Pb 3.30
Te: 0.3725 0.0631 0.1905  1 Pa 3.04, 2 Pb 3.30-3.31
Te: 0.9369 0.6275 0.8095  1 Pa 3.04, 2 Pb 3.30-3.31
Cs: 0.8249 0.1751 0.5000  6 Te 3.79-3.92
Cs: 0.5000 0.5000 0.5000  6 Te 3.79-3.98
Cs: 0.1751 0.8249 0.5000  6 Te 3.79-3.92
Pa: 0.0000 0.0000 0.0000  6 Te 3.04-3.05
Pb: 0.3347 0.6653 0.0000  6 Te 3.30-3.31
Pb: 0.6653 0.3347 0.0000  6 Te 3.30-3.31

Calculated values
As for the crystal system: monoclinic. For the volume, the calculation gives 511.7 Å³ per cell.

***

Entry 3:
Compound: Cs3Pa3Te8Pb
Source: the Alexandria database
Functional: PBE
Structure: optimized geometry

abc: 9.0918 9.0917 10.4716
angles: 115.75 90.00 120.00
Last column: nearest neighbours and their distance in Å.
Element x y z (fractional)
Cs: 0.0000 0.5000 0.0000  6 Te 3.83-3.87
Cs: 0.0000 0.0000 0.0000  6 Te 3.83-3.87
Cs: 0.5000 0.5000 0.0000  6 Te 3.83-3.87
Pa: 0.5000 0.5000 0.5000  6 Te 3.10-3.15
Pa: 0.0000 0.5000 0.5000  6 Te 3.10-3.15
Pa: 0.5000 0.0000 0.5000  6 Te 3.10-3.15
Te: 0.7597 0.5194 0.3062  2 Pa 3.10, 1 Pb 3.28
Te: 0.7133 0.9536 0.6937  2 Pa 3.10, 1 Pb 3.28
Te: 0.7598 0.0464 0.3063  2 Pa 3.10, 1 Pb 3.28
Te: 0.2403 0.4806 0.6938  2 Pa 3.10, 1 Pb 3.28
Te: 0.2692 0.5384 0.3077  3 Pa 3.15
Te: 0.2402 0.9536 0.6937  2 Pa 3.10, 1 Pb 3.28
Te: 0.7308 0.4616 0.6923  3 Pa 3.15
Te: 0.2867 0.0464 0.3063  2 Pa 3.10, 1 Pb 3.28
Pb: 0.0000 0.0000 0.5000  6 Te 3.28

Calculated values
As for the crystal system: trigonal. For the volume, the calculation gives 648.5 Å³ per cell.

***

Entry 4:
Compound: Cs2PaPd2S4
Source: the Alexandria database
Functional: PBE
Structure: optimized geometry

abc: 4.0809 8.2115 7.6566
angles: 107.18 105.46 90.00
Last column: nearest neighbours and their distance in Å.
Element x y z (fractional)
Cs: 0.1394 0.5727 0.2788  7 S 3.48-3.74, 1 Pd 3.67
Cs: 0.8606 0.4273 0.7212  7 S 3.48-3.74, 1 Pd 3.67
Pd: 0.6831 0.0024 0.3661  4 S 2.42-2.67
Pd: 0.3169 0.9976 0.6339  4 S 2.42-2.67
S: 0.4845 0.2122 0.9689  1 Pd 2.56, 2 Pa 2.74
S: 0.8138 0.8382 0.6277  3 Pd 2.42-2.67, 1 Pa 2.66
S: 0.5155 0.7878 0.0311  1 Pd 2.56, 2 Pa 2.74
S: 0.1862 0.1618 0.3723  3 Pd 2.42-2.67, 1 Pa 2.66
Pa: 0.0000 0.0000 0.0000  6 S 2.66-2.74

Calculated values
As for the crystal system: monoclinic. For the volume, the calculation gives 235.4 Å³ per cell.

***

Entry 5:
Compound: CsPa2PdS5
Source: the Alexandria database
Functional: PBE
Structure: optimized geometry

abc: 7.6905 7.6905 8.9655
angles: 115.40 115.40 90.00
Last column: nearest neighbours and their distance in Å.
Element x y z (fractional)
Pa: 0.6609 0.1609 0.0000  8 S 2.70-2.89
Pa: 0.1609 0.3391 0.0000  8 S 2.70-2.89
Pa: 0.8391 0.6609 0.0000  8 S 2.70-2.89
Pa: 0.3391 0.8391 0.0000  8 S 2.70-2.89
S: 0.5268 0.7417 0.7685  1 Pd 2.46, 1 Pa 2.70
S: 0.0268 0.5268 0.7685  1 Pd 2.46, 1 Pa 2.70
S: 0.2417 0.0268 0.7685  1 Pd 2.46, 1 Pa 2.70
S: 0.0000 0.0000 0.0000  4 Pa 2.89
S: 0.7583 0.9732 0.2315  1 Pd 2.46, 1 Pa 2.70
S: 0.9732 0.4732 0.2315  1 Pd 2.46, 1 Pa 2.70
S: 0.5000 0.5000 0.0000  4 Pa 2.89
S: 0.7417 0.2417 0.7685  1 Pd 2.46, 1 Pa 2.70
S: 0.4732 0.2583 0.2315  1 Pd 2.46, 1 Pa 2.70
S: 0.2583 0.7583 0.2315  1 Pd 2.46, 1 Pa 2.70
Cs: 0.7500 0.7500 0.5000  10 S 3.52-3.56, 4 Pd 3.85
Cs: 0.2500 0.2500 0.5000  10 S 3.52-3.56, 4 Pd 3.85
Pd: 0.7500 0.2500 0.5000  4 S 2.46
Pd: 0.2500 0.7500 0.5000  4 S 2.46

Calculated values
As for the crystal system: tetragonal. For the volume, the calculation gives 421.6 Å³ per cell.

***

Entry 6:
Compound: Cs2Pa2PdS6
Source: the Alexandria database
Functional: PBE
Structure: optimized geometry

abc: 7.2631 7.2631 8.4225
angles: 95.58 95.58 126.43
Last column: nearest neighbours and their distance in Å.
Element x y z (fractional)
S: 0.4419 0.0397 0.6881  2 Pa 2.62-2.69
S: 0.9603 0.5581 0.3119  2 Pa 2.62-2.69
S: 0.2716 0.2716 0.3456  1 Pd 2.42, 2 Pa 2.70
S: 0.7284 0.7284 0.6544  1 Pd 2.42, 2 Pa 2.70
S: 0.0397 0.4419 0.6881  2 Pa 2.62-2.69
S: 0.5581 0.9603 0.3119  2 Pa 2.62-2.69
Cs: 0.1444 0.8556 0.0000  6 S 3.42-3.59, 1 Cs 3.74
Cs: 0.8556 0.1444 0.0000  6 S 3.42-3.59, 1 Cs 3.74
Pa: 0.3416 0.6584 0.5000  6 S 2.62-2.70
Pa: 0.6584 0.3416 0.5000  6 S 2.62-2.70
Pd: 0.0000 0.0000 0.5000  2 S 2.42

Calculated values
As for the crystal system: monoclinic. For the volume, the calculation gives 349.1 Å³ per cell.

***

Entry 7:
Compound: CsPaPdS4
Source: the Alexandria database
Functional: PBE
Structure: optimized geometry

abc: 6.7856 5.6261 9.7981
angles: 90.00 106.47 90.00
Last column: nearest neighbours and their distance in Å.
Element x y z (fractional)
S: 0.0267 0.9593 0.6811  1 Pd 2.35, 1 S 2.36
S: 0.5214 0.2500 0.8044  1 Pd 2.42, 1 Pa 2.56
S: 0.9733 0.0407 0.3189  1 Pd 2.35, 1 S 2.36
S: 0.4786 0.7500 0.1956  1 Pd 2.42, 1 Pa 2.56
S: 0.9733 0.4593 0.3189  1 Pd 2.35, 1 S 2.36
S: 0.4259 0.7500 0.5733  1 Pd 2.41, 1 Pa 2.69
S: 0.0267 0.5407 0.6811  1 Pd 2.35, 1 S 2.36
S: 0.5741 0.2500 0.4267  1 Pd 2.41, 1 Pa 2.69
Cs: 0.2414 0.2500 0.0474  4 S 3.36-3.76
Cs: 0.7586 0.7500 0.9526  4 S 3.36-3.76
Pd: 0.2256 0.7500 0.3266  4 S 2.35-2.42
Pd: 0.7744 0.2500 0.6734  4 S 2.35-2.42
Pa: 0.7300 0.7500 0.4465  6 S 2.56-2.85
Pa: 0.2700 0.2500 0.5535  6 S 2.56-2.85

Calculated values
As for the crystal system: monoclinic. For the volume, the calculation gives 358.7 Å³ per cell.

***

Entry 8:
Compound: CsPaSb2Pd2
Source: the Alexandria database
Functional: PBE
Structure: optimized geometry

abc: 4.8029 4.8029 9.0057
angles: 90.00 90.00 120.00
Last column: nearest neighbours and their distance in Å.
Element x y z (fractional)
Pd: 0.3333 0.6667 0.3620  4 Sb 2.80-2.88, 3 Pa 3.04
Pd: 0.6667 0.3333 0.6380  4 Sb 2.80-2.88, 3 Pa 3.04
Pa: 0.0000 0.0000 0.5000  6 Pd 3.04, 6 Sb 3.22
Sb: 0.6667 0.3333 0.3182  4 Pd 2.80-2.88
Sb: 0.3333 0.6667 0.6818  4 Pd 2.80-2.88
Cs: 0.0000 0.0000 0.0000  6 Sb 3.99, 6 Pd 4.28

Calculated values
As for the crystal system: trigonal. For the volume, the calculation gives 179.9 Å³ per cell.

***

Raw formation energy, respectively: -1.18; -0.87; -0.89; -1.14; -1.39; -1.36; -1.10; -0.65 eV per atom.